LiEuAlPd after structural relaxation, computed with PBE.

Geometry as extended XYZ:
```
4
Lattice="4.8176 0.0000 0.0000 2.4088 4.1722 0.0000 2.4088 1.3907 3.9336" Properties=species:S:1:pos:R:3 pbc="T T T"
Pd 7.2264 4.1722 2.9502
Al 0.0000 0.0000 0.0000
Li 2.4088 1.3907 0.9834
Eu 4.8176 2.7815 1.9668
```

Computed properties:
**Density**: 6.14 Mg/m³
**Total DFT energy (no corrections)**: -5.656 eV/atom
**E_form**: -0.375 eV per atom
**Total moment**: 7.477 μB per cell

InGaCl after structural relaxation, computed with PBE.

Geometry as extended XYZ:
```
6
Lattice="-0.7899 4.6403 -0.3410 -3.0170 1.5145 -5.0196 -6.6258 -1.0035 1.7035" Properties=species:S:1:pos:R:3 pbc="T T T"
Cl -4.3396 3.4970 -0.3835
Cl -7.3953 1.4765 0.5774
Ga -6.7026 4.7982 -2.9908
Ga -4.8145 2.7393 -2.7281
In -3.6030 5.2131 -3.7588
In -7.8967 2.2143 -1.9563
```

Computed properties:
**Density**: 4.16 Mg/m³
**Total DFT energy (no corrections)**: -2.932 eV/atom
**Energy above the lowest structure with this stoichiometry**: 19.4 meV per atom
**Total moment**: 0.000 μB per cell